AcPr2ThBi4: optimized geometry, GGA-PBE.

Cell and atoms, written as POSCAR:
```
AcPr2ThBi4
1.0
-4.0321 -2.0412 -4.8567
4.8816 0.8503 -4.4105
1.5524 -5.6522 5.6179
Ac Pr Th Bi
1 2 1 4
direct
0.5000 0.5000 0.0000
0.2500 0.7499 0.5000
0.0000 0.0001 0.0000
0.7500 0.2501 0.5000
0.9969 0.4970 0.9938
0.5031 0.0031 0.0063
0.7544 0.7545 0.5088
0.2456 0.2455 0.4911
```

## Properties
DFT formation energy, eV per formula unit: -6.9
Symmetry: I-4m2 (119)

Tb2Pm6Sc3: optimized geometry, GGA-PBE.

Cell and atoms, written as POSCAR:
```
Tb2Pm6Sc3
1.0
7.5147 -1.7271 1.6341
-2.2664 7.7573 3.1100
3.2110 6.3746 10.5064
Tb Pm Sc
2 6 3
direct
0.6439 0.4577 0.0884
0.3561 0.5423 0.9116
0.0914 0.6273 0.7330
0.7339 0.0952 0.8151
0.9086 0.3727 0.2670
0.2661 0.9048 0.1849
0.8011 0.7185 0.5497
0.1989 0.2815 0.4503
0.0000 0.0000 0.0000
0.5443 0.8066 0.3684
0.4557 0.1934 0.6316
```

## Properties
DFT formation energy, eV per formula unit: 0.5
Symmetry: P-1 (2)

La2SmHoSb4: optimized geometry, GGA-PBE.

Cell and atoms, written as POSCAR:
```
La2SmHoSb4
1.0
-3.9909 1.0428 1.8720
1.6108 -4.6947 6.0493
3.6862 4.0897 5.5804
La Sm Ho Sb
2 1 1 4
direct
0.0000 0.0000 0.0000
0.5000 0.0000 0.5000
0.5000 0.5000 0.0000
0.0000 0.5000 0.5000
0.0000 0.7399 0.7503
0.0000 0.2601 0.2497
0.5000 0.7378 0.2570
0.5000 0.2622 0.7430
```

## Properties
Uncorrected formation energy, eV per atom: -1.206
Symmetry: P2/m (10)

SiAsRh2: optimized geometry, GGA-PBE.

Cell and atoms, written as POSCAR:
```
SiAsRh2
1.0
7.8098 -0.0041 -0.0025
7.2141 2.9916 -0.0025
7.2141 1.4345 2.6252
As Rh Si
1 2 1
direct
0.7482 0.7482 0.7482
0.0074 0.0074 0.0074
0.2397 0.2397 0.2397
0.5047 0.5047 0.5047
```

## Properties
Uncorrected formation energy, eV per atom: -0.171
Symmetry: R3m (160)

Number 1: magnetization 0.00 μB per formula unit, uncorrected energy -5.441 eV/atom. Number 2: magnetization 0.00 μB per formula unit, uncorrected energy -5.112 eV/atom. Number 3: magnetization 0.00 μB per formula unit, uncorrected energy -5.662 eV/atom. Number 4: magnetization 0.00 μB per formula unit, uncorrected energy -6.365 eV/atom.